1.
Mn2TlRu at its PBEsol-relaxed geometry, computed with meta-GGA SCAN.

a b c (Å): 3.074 3.074 6.478
angles (deg): 90.00 90.00 90.00
Space group P4/mmm (No. 123)
Inequivalent atoms, fractional coordinates:
1 Mn 0.000 0.000 0.213 (multiplicity 2)
2 Tl 0.500 0.500 0.500 (multiplicity 1)
3 Ru 0.500 0.500 0.000 (multiplicity 1)

Results
The value obtained for the formation energy is 0.046 eV per atom. Its offset from the most stable computed form is 0 meV per atom. Its magnetic moment is 7.9 μB per cell.


2.
NaMn7O12 at its PBEsol-relaxed geometry, computed with meta-GGA SCAN.

a b c (Å): 7.264 7.264 7.264
angles (deg): 90.00 90.00 90.00
Space group Im-3 (No. 204)
Inequivalent atoms, fractional coordinates:
1 Na 0.000 0.000 0.000 (multiplicity 2)
2 Mn 0.000 0.000 0.500 (multiplicity 6)
3 Mn 0.250 0.250 0.250 (multiplicity 8)
4 O 0.000 0.183 0.311 (multiplicity 24)

Results
Its magnetic moment is 52.0 μB per cell. The uncorrected formation energy comes out at -43.19 eV/f.u.